Record 1
MgI2N: relaxed, PBE.

The structure in POSCAR format:
```
MgI2N
1.0
4.202 0.000 0.000
0.001 7.113 -1.576
0.000 -0.455 9.215
I N Mg
4 2 2
direct
0.778 0.613 0.363 I
0.278 0.573 0.740 I
0.278 0.113 0.363 I
0.778 0.073 0.740 I
0.778 0.844 0.051 N
0.278 0.342 0.052 N
0.277 0.843 0.552 Mg
0.777 0.343 0.552 Mg
```

For the spin magnetization, the calculation gives 3.01 μB/f.u. For the formation energy (no corrections), the calculation gives 503 meV/atom. As for the calculated volume: 272.44 Å³ per cell. The energy above the most stable polymorph in this dataset is 0 kJ/mol of formula units.


Record 2
Mg3IN: relaxed, PBE.

The structure in POSCAR format:
```
Mg3IN
1.0
4.605 0.000 0.000
0.000 4.605 0.000
0.000 0.000 4.605
Mg I N
3 1 1
direct
0.000 0.000 0.500 Mg
0.500 0.000 0.000 Mg
0.000 0.500 0.000 Mg
0.500 0.500 0.500 I
0.000 0.000 0.000 N
```

For the spin magnetization, the calculation gives 0.00 μB/f.u. For the formation energy (no corrections), the calculation gives -145 meV/atom. As for the calculated volume: 97.67 Å³ per cell. The energy above the most stable polymorph in this dataset is 0 kJ/mol of formula units.


Record 3
MgIN2: relaxed, PBE.

The structure in POSCAR format:
```
MgIN2
1.0
1.974 0.000 6.139
-0.987 1.710 6.139
-0.987 -1.710 6.139
I N Mg
1 2 1
direct
0.000 0.000 0.000 I
0.110 0.110 0.110 N
0.890 0.890 0.890 N
0.500 0.500 0.500 Mg
```

For the spin magnetization, the calculation gives 0.00 μB/f.u. For the formation energy (no corrections), the calculation gives 800 meV/atom. As for the calculated volume: 62.15 Å³ per cell. The energy above the most stable polymorph in this dataset is 0 kJ/mol of formula units.


Record 4
MgI2N2: relaxed, PBE.

The structure in POSCAR format:
```
MgI2N2
1.0
5.177 0.000 0.000
0.000 5.177 0.000
0.000 0.000 3.753
Mg N I
1 2 2
direct
0.500 0.500 0.500 Mg
0.000 0.000 0.500 N
0.000 0.000 0.000 N
0.500 0.000 0.000 I
0.000 0.500 0.000 I
```

For the spin magnetization, the calculation gives 1.63 μB/f.u. For the formation energy (no corrections), the calculation gives 1401 meV/atom. As for the calculated volume: 100.58 Å³ per cell. The energy above the most stable polymorph in this dataset is 978 kJ/mol of formula units.


Record 5
MgI2N2: relaxed, PBE.

The structure in POSCAR format:
```
MgI2N2
1.0
-2.620 -0.282 3.268
-1.394 -0.793 -3.882
2.280 -11.270 0.857
Mg I N
1 2 2
direct
0.000 0.000 0.000 Mg
0.347 0.693 0.854 I
0.653 0.307 0.146 I
0.053 0.107 0.533 N
0.947 0.893 0.467 N
```

For the spin magnetization, the calculation gives 0.00 μB/f.u. For the formation energy (no corrections), the calculation gives -627 meV/atom. As for the calculated volume: 175.77 Å³ per cell. The energy above the most stable polymorph in this dataset is 0 kJ/mol of formula units.


Record 6
MgIN2: relaxed, PBE.

The structure in POSCAR format:
```
MgIN2
1.0
4.745 0.000 0.000
0.000 4.745 0.000
2.372 2.372 5.743
N Mg I
4 2 2
direct
0.375 0.383 0.750 N
0.875 0.867 0.750 N
0.133 0.625 0.250 N
0.617 0.125 0.250 N
0.500 0.500 0.000 Mg
0.250 0.750 0.500 Mg
0.750 0.250 0.500 I
0.000 0.000 0.000 I
```

For the spin magnetization, the calculation gives 0.00 μB/f.u. For the formation energy (no corrections), the calculation gives 915 meV/atom. As for the calculated volume: 129.27 Å³ per cell. The energy above the most stable polymorph in this dataset is 45 kJ/mol of formula units.